1.
A geometry-optimized SiMo2I structure, computed with PBE-GGA.

## Properties
The value obtained for the density of states at the Fermi level is 0.99 states/eV per atom. The distance to the lowest polymorph of the same formula comes out at 0.312 eV per atom.

Unit cell a=4.505 b=4.505 c=16.482 alpha=90.00 beta=90.00 gamma=90.00
Space group I-42d (No. 122)
Unique sites:
Si  0.000  0.000  0.000 x4
Mo  0.168  0.250  0.125 x8
I  0.000  0.000  0.500 x4

2.
A geometry-optimized Si3MoI structure, computed with PBE-GGA.

## Properties
The value obtained for the density of states at the Fermi level is 0.86 states/eV per atom. The distance to the lowest polymorph of the same formula comes out at 1.666 eV per atom.

Unit cell a=5.195 b=5.195 c=5.195 alpha=90.00 beta=90.00 gamma=90.00
Space group Pm-3m (No. 221)
Unique sites:
Si  0.000  0.000  0.500 x3
Mo  0.500  0.500  0.500 x1
I  0.000  0.000  0.000 x1

3.
A geometry-optimized Si3MoI structure, computed with PBE-GGA.

## Properties
The value obtained for the density of states at the Fermi level is 1.24 states/eV per atom. The distance to the lowest polymorph of the same formula comes out at 0.000 eV per atom.

Unit cell a=4.869 b=4.869 c=4.869 alpha=90.00 beta=90.00 gamma=90.00
Space group Pm-3m (No. 221)
Unique sites:
Si  0.000  0.000  0.500 x3
Mo  0.000  0.000  0.000 x1
I  0.500  0.500  0.500 x1

4.
A geometry-optimized SrSi2MoI structure, computed with PBE-GGA.

## Properties
The value obtained for the density of states at the Fermi level is 0.67 states/eV per atom. Its raw total energy is -16.9 eV for the cell shown.

Unit cell a=5.429 b=5.429 c=5.845 alpha=90.00 beta=90.00 gamma=90.00
Space group P4/mmm (No. 123)
Unique sites:
Sr  0.000  0.000  0.000 x1
Si  0.000  0.500  0.500 x2
Mo  0.500  0.500  0.000 x1
I  0.000  0.000  0.500 x1

5.
A geometry-optimized SiTe2MoI structure, computed with PBE-GGA.

## Properties
The value obtained for the density of states at the Fermi level is 0.87 states/eV per atom. The distance to the lowest polymorph of the same formula comes out at 0.203 eV per atom.

Unit cell a=5.305 b=5.305 c=5.404 alpha=90.00 beta=90.00 gamma=90.00
Space group P4/mmm (No. 123)
Unique sites:
Si  0.000  0.000  0.000 x1
Te  0.000  0.500  0.000 x2
Mo  0.500  0.500  0.500 x1
I  0.000  0.000  0.500 x1

6.
A geometry-optimized SiTe2MoI structure, computed with PBE-GGA.

## Properties
The value obtained for the density of states at the Fermi level is 0.91 states/eV per atom. The distance to the lowest polymorph of the same formula comes out at 0.000 eV per atom.

Unit cell a=5.303 b=5.303 c=5.582 alpha=90.00 beta=90.00 gamma=90.00
Space group P4/mmm (No. 123)
Unique sites:
Si  0.000  0.000  0.000 x1
Te  0.000  0.500  0.500 x2
Mo  0.500  0.500  0.500 x1
I  0.500  0.500  0.000 x1